(1)
DFT (GGA-PBE) results for crystalline GaAg3Br6 at its relaxed geometry.

a = 7.867 Å, b = 9.617 Å, c = 9.617 Å
α = 109.61°, β = 90.00°, γ = 90.00°
Atoms (fractional coordinates):
Ga: 0.946 0.186 0.814
Ga: 0.446 0.814 0.186
Ag: 0.560 0.883 0.714
Ag: 0.060 0.714 0.883
Ag: 0.553 0.474 0.526
Ag: 0.053 0.526 0.474
Ag: 0.060 0.117 0.286
Ag: 0.560 0.286 0.117
Br: 0.305 0.678 0.671
Br: 0.805 0.671 0.678
Br: 0.041 0.428 0.932
Br: 0.541 0.932 0.428
Br: 0.038 0.042 0.958
Br: 0.634 0.186 0.814
Br: 0.134 0.814 0.186
Br: 0.538 0.958 0.042
Br: 0.041 0.068 0.572
Br: 0.541 0.572 0.068
Br: 0.305 0.329 0.322
Br: 0.805 0.322 0.329

Calculated values
The calculation puts the size of the total moment at 0.0000 μB/atom. The energy above the lowest structure with this stoichiometry comes out at 0 meV per atom. The calculation puts the uncorrected energy at -2.65 eV/atom.

(2)
DFT (GGA-PBE) results for crystalline Ba4ZnHg2 at its relaxed geometry.

a = 6.378 Å, b = 6.378 Å, c = 9.504 Å
α = 109.61°, β = 109.61°, γ = 90.00°
Site moments in Bohr magnetons follow the coordinates.
Atoms (fractional coordinates):
Zn: 0.000 0.000 0.000  0.00
Hg: 0.597 0.597 0.195  0.03
Hg: 0.403 0.403 0.805  0.03
Ba: 0.800 0.800 0.601  0.05
Ba: 0.200 0.200 0.399  0.05
Ba: 0.000 0.500 0.000  0.03
Ba: 0.500 0.000 0.000  0.03

Calculated values
The calculation puts the size of the total moment at 0.1321 μB/atom. The energy above the lowest structure with this stoichiometry comes out at 162 meV per atom. The calculation puts the uncorrected energy at -1.52 eV/atom. The energy of formation is -155 meV/atom.